No. 1
Here is a relaxed LiTbGe crystal from OQMD via LeMat-Bulk. Energies are from PBE-GGA.

## Properties
Total energy   -4.4188 eV per atom
Space group   Pnma (62)

Unit cell a=7.1656 b=4.3259 c=7.8213 alpha=90.00 beta=90.00 gamma=90.00
Last column: nearest neighbours and their distance in Å.
Fractional positions:
Li 0.1593 0.2500 0.0711  4 Ge 2.60-2.83
Li 0.3407 0.7500 0.5711  4 Ge 2.60-2.83
Li 0.6593 0.2500 0.4289  4 Ge 2.60-2.83
Li 0.8407 0.7500 0.9289  4 Ge 2.60-2.83
Tb 0.0113 0.2500 0.7054  5 Ge 3.00-3.09, 4 Li 3.04-3.32
Tb 0.4887 0.7500 0.2054  5 Ge 3.00-3.09, 4 Li 3.04-3.32
Tb 0.5113 0.2500 0.7946  5 Ge 3.00-3.09, 4 Li 3.04-3.32
Tb 0.9887 0.7500 0.2946  5 Ge 3.00-3.09, 4 Li 3.04-3.32
Ge 0.2339 0.7500 0.9006  4 Li 2.60-2.83
Ge 0.2661 0.2500 0.4006  4 Li 2.60-2.83
Ge 0.7339 0.7500 0.5994  4 Li 2.60-2.83
Ge 0.7661 0.2500 0.0994  4 Li 2.60-2.83

***

No. 2
Here is a relaxed LiTbGe crystal from OQMD via LeMat-Bulk. Energies are from PBE-GGA.

## Properties
Total energy   -4.4376 eV per atom
Space group   P-62m (189)

Unit cell a=7.0828 b=7.0828 c=4.2595 alpha=90.00 beta=90.00 gamma=120.00
Last column: nearest neighbours and their distance in Å.
Fractional positions:
Li 0.0000 0.2342 0.0000  4 Ge 2.70-2.78, 2 Li 2.87
Li 0.2342 0.0000 0.0000  4 Ge 2.70-2.78, 2 Li 2.87
Li 0.7658 0.7658 0.0000  4 Ge 2.70-2.78, 2 Li 2.87
Tb 0.0000 0.5772 0.5000  5 Ge 2.99-3.00, 2 Li 3.23
Tb 0.4228 0.4228 0.5000  5 Ge 2.99-3.00, 2 Li 3.23
Tb 0.5772 0.0000 0.5000  5 Ge 2.99-3.00, 2 Li 3.23
Ge 0.0000 0.0000 0.5000  6 Li 2.70, 3 Tb 2.99
Ge 0.3333 0.6667 0.0000  3 Li 2.78, 6 Tb 3.00
Ge 0.6667 0.3333 0.0000  3 Li 2.78, 6 Tb 3.00

***

No. 3
Here is a relaxed LiTbGe crystal from OQMD via LeMat-Bulk. Energies are from PBE-GGA.

## Properties
Total energy   -4.1306 eV per atom
Space group   P-62m (189)

Unit cell a=6.9606 b=6.9606 c=4.2017 alpha=90.00 beta=90.00 gamma=120.00
Last column: nearest neighbours and their distance in Å.
Fractional positions:
Li 0.0000 0.0000 0.0000  6 Ge 2.76, 3 Tb 2.88
Li 0.3333 0.6667 0.5000  3 Ge 2.63
Li 0.6667 0.3333 0.5000  3 Ge 2.63
Tb 0.0000 0.5869 0.0000  5 Li 2.88-2.97, 2 Ge 3.12
Tb 0.4131 0.4131 0.0000  5 Li 2.88-2.97, 2 Ge 3.12
Tb 0.5869 0.0000 0.0000  5 Li 2.88-2.97, 2 Ge 3.12
Ge 0.0000 0.2565 0.5000  4 Li 2.63-2.76
Ge 0.2565 0.0000 0.5000  4 Li 2.63-2.76
Ge 0.7435 0.7435 0.5000  4 Li 2.63-2.76

***

No. 4
Here is a relaxed LiTbGe crystal from OQMD via LeMat-Bulk. Energies are from PBE-GGA.

## Properties
Total energy   -4.4087 eV per atom
Space group   P6_3/mmc (194)

Unit cell a=4.4059 b=4.4059 c=7.2258 alpha=90.00 beta=90.00 gamma=120.00
Last column: nearest neighbours and their distance in Å.
Fractional positions:
Li 0.3333 0.6667 0.2500  3 Ge 2.54
Li 0.6667 0.3333 0.7500  3 Ge 2.54
Tb 0.0000 0.0000 0.0000  6 Ge 3.12, 6 Li 3.12
Tb 0.0000 0.0000 0.5000  6 Ge 3.12, 6 Li 3.12
Ge 0.3333 0.6667 0.7500  3 Li 2.54
Ge 0.6667 0.3333 0.2500  3 Li 2.54

***

No. 5
Here is a relaxed LiTbGe crystal from OQMD via LeMat-Bulk. Energies are from PBE-GGA.

## Properties
Total energy   -4.3752 eV per atom
Space group   P6_3/mmc (194)

Unit cell a=4.9555 b=4.9555 c=5.9659 alpha=90.00 beta=90.00 gamma=120.00
Last column: nearest neighbours and their distance in Å.
Fractional positions:
Li 0.0000 0.0000 0.0000  2 Li 2.98, 6 Ge 3.23, 6 Tb 3.23
Li 0.0000 0.0000 0.5000  2 Li 2.98, 6 Ge 3.23, 6 Tb 3.23
Tb 0.3333 0.6667 0.2500  5 Ge 2.86-2.98
Tb 0.6667 0.3333 0.7500  5 Ge 2.86-2.98
Ge 0.3333 0.6667 0.7500  5 Tb 2.86-2.98
Ge 0.6667 0.3333 0.2500  5 Tb 2.86-2.98

***

No. 6
Here is a relaxed LiTbGe crystal from OQMD via LeMat-Bulk. Energies are from PBE-GGA.

## Properties
Total energy   -4.4089 eV per atom
Space group   P6_3mc (186)

Unit cell a=4.4057 b=4.4057 c=7.1841 alpha=90.00 beta=90.00 gamma=120.00
Last column: nearest neighbours and their distance in Å.
Fractional positions:
Li 0.3333 0.6667 0.0000  3 Ge 2.56
Li 0.6667 0.3333 0.5000  3 Ge 2.56
Tb 0.0000 0.0000 0.2260  6 Li 3.02-3.22, 6 Ge 3.03-3.20
Tb 0.0000 0.0000 0.7260  6 Li 3.02-3.22, 6 Ge 3.03-3.20
Ge 0.3333 0.6667 0.4556  3 Li 2.56
Ge 0.6667 0.3333 0.9556  3 Li 2.56

***

No. 7
Here is a relaxed Li2TcGe crystal from OQMD via LeMat-Bulk. Energies are from PBE-GGA.

## Properties
Total energy   -4.7629 eV per atom
Space group   F-43m (216)

Unit cell a=4.2249 b=4.2249 c=4.2249 alpha=60.00 beta=60.00 gamma=60.00
Last column: nearest neighbours and their distance in Å.
Fractional positions:
Li 0.0000 0.0000 0.0000  4 Li 2.59, 4 Tc 2.59
Li 0.2500 0.2500 0.2500  4 Ge 2.59, 4 Li 2.59
Tc 0.7500 0.7500 0.7500  4 Ge 2.59, 4 Li 2.59
Ge 0.5000 0.5000 0.5000  4 Tc 2.59, 4 Li 2.59

***

No. 8
Here is a relaxed LiTcGeTe crystal from OQMD via LeMat-Bulk. Energies are from PBE-GGA.

## Properties
Total energy   -5.0368 eV per atom
E above lowest polymorph   0.000 eV per atom
Space group   F-43m (216)

Unit cell a=4.5474 b=4.5474 c=4.5474 alpha=60.00 beta=60.00 gamma=60.00
Last column: nearest neighbours and their distance in Å.
Fractional positions:
Li 0.0000 0.0000 0.0000  4 Ge 2.78, 4 Te 2.78
Tc 0.5000 0.5000 0.5000  4 Te 2.78, 4 Ge 2.78
Ge 0.7500 0.7500 0.7500  4 Tc 2.78, 4 Li 2.78
Te 0.2500 0.2500 0.2500  4 Tc 2.78, 4 Li 2.78

***

No. 9
Here is a relaxed LiTcGeTe crystal from OQMD via LeMat-Bulk. Energies are from PBE-GGA.

## Properties
Total energy   -4.5624 eV per atom
E above lowest polymorph   0.474 eV per atom
Space group   F-43m (216)

Unit cell a=4.6246 b=4.6246 c=4.6246 alpha=60.00 beta=60.00 gamma=60.00
Last column: nearest neighbours and their distance in Å.
Fractional positions:
Li 0.0000 0.0000 0.0000  4 Tc 2.83, 4 Te 2.83
Tc 0.7500 0.7500 0.7500  4 Ge 2.83, 4 Li 2.83
Ge 0.5000 0.5000 0.5000  4 Tc 2.83, 4 Te 2.83
Te 0.2500 0.2500 0.2500  4 Ge 2.83, 4 Li 2.83

***

No. 10
Here is a relaxed LiTcGeW crystal from OQMD via LeMat-Bulk. Energies are from PBE-GGA.

## Properties
Total energy   -7.5587 eV per atom
E above lowest polymorph   0.000 eV per atom
Space group   F-43m (216)

Unit cell a=4.2974 b=4.2974 c=4.2974 alpha=60.00 beta=60.00 gamma=60.00
Last column: nearest neighbours and their distance in Å.
Fractional positions:
Li 0.0000 0.0000 0.0000  4 Ge 2.63, 4 W 2.63
Tc 0.5000 0.5000 0.5000  4 W 2.63, 4 Ge 2.63
Ge 0.2500 0.2500 0.2500  4 Tc 2.63, 4 Li 2.63
W 0.7500 0.7500 0.7500  4 Tc 2.63, 4 Li 2.63

***

No. 11
Here is a relaxed LiTcGeW crystal from OQMD via LeMat-Bulk. Energies are from PBE-GGA.

## Properties
Total energy   -7.0779 eV per atom
E above lowest polymorph   0.481 eV per atom
Space group   F-43m (216)

Unit cell a=4.2829 b=4.2829 c=4.2829 alpha=60.00 beta=60.00 gamma=60.00
Last column: nearest neighbours and their distance in Å.
Fractional positions:
Li 0.0000 0.0000 0.0000  4 W 2.62, 4 Tc 2.62
Tc 0.2500 0.2500 0.2500  4 Ge 2.62, 4 Li 2.62
Ge 0.5000 0.5000 0.5000  4 W 2.62, 4 Tc 2.62
W 0.7500 0.7500 0.7500  4 Ge 2.62, 4 Li 2.62

***

No. 12
Here is a relaxed LiThGe2 crystal from OQMD via LeMat-Bulk. Energies are from PBE-GGA.

## Properties
Total energy   -5.2233 eV per atom
Space group   Pnma (62)

Unit cell a=7.9276 b=3.9649 c=10.5337 alpha=90.00 beta=90.00 gamma=90.00
Last column: nearest neighbours and their distance in Å.
Fractional positions:
Li 0.0184 0.2500 0.0989  5 Ge 2.58-2.76, 2 Li 2.89
Li 0.4816 0.7500 0.5989  5 Ge 2.58-2.76, 2 Li 2.89
Li 0.5184 0.2500 0.4011  5 Ge 2.58-2.76, 2 Li 2.89
Li 0.9816 0.7500 0.9011  5 Ge 2.58-2.76, 2 Li 2.89
Th 0.1324 0.7500 0.3603  8 Ge 3.08-3.27
Th 0.3676 0.2500 0.8603  8 Ge 3.08-3.27
Th 0.6324 0.7500 0.1397  8 Ge 3.08-3.27
Th 0.8676 0.2500 0.6397  8 Ge 3.08-3.27
Ge 0.1567 0.7500 0.6941  2 Ge 2.58, 2 Li 2.58-2.76
Ge 0.2334 0.7500 0.0607  2 Ge 2.58, 3 Li 2.61-2.65
Ge 0.2666 0.2500 0.5607  2 Ge 2.58, 3 Li 2.61-2.65
Ge 0.3433 0.2500 0.1941  2 Ge 2.58, 2 Li 2.58-2.76
Ge 0.6567 0.7500 0.8059  2 Ge 2.58, 2 Li 2.58-2.76
Ge 0.7334 0.7500 0.4393  2 Ge 2.58, 3 Li 2.61-2.65
Ge 0.7666 0.2500 0.9393  2 Ge 2.58, 3 Li 2.61-2.65
Ge 0.8433 0.2500 0.3059  2 Ge 2.58, 2 Li 2.58-2.76